SrNdV2O8 | PBE with a Hubbard U | relaxed

Output
- E: -7.38 eV/atom
- DOS(E_F): 10.964 states/eV/f.u.

a b c (Å): 5.8196 5.8196 7.3946
angles (deg): 90.00 90.00 120.00
Last column: magnetic moment on the atom in μB.
Positions (direct):
Sr 0.0000 0.0000 0.0000  0.00
O 0.6646 0.8329 0.7222  -0.13
O 0.3333 0.6667 0.0251  -0.15
O 0.8317 0.6646 0.2778  -0.13
O 0.1671 0.8317 0.7222  -0.13
O 0.3354 0.1671 0.2778  -0.13
O 0.8329 0.1683 0.2778  -0.13
O 0.6667 0.3333 0.9749  -0.15
O 0.1683 0.3354 0.7222  -0.13
V 0.3333 0.6667 0.7971  0.10
V 0.6667 0.3333 0.2029  0.10
Nd 0.0000 0.0000 0.5000  0.01